Material: ZrReOs2
Method: DFT, PBEsol
State: relaxed

Cell lengths 3.908, 3.908, 4.934 Å; angles 113.33, 113.33, 90.00 degrees
Fractional coordinates of all 4 atoms:
Os  0.000  0.000  0.000
Os  0.750  0.250  0.500
Re  0.500  0.500  0.000
Zr  0.250  0.750  0.500

## Properties
Total DFT energy (no corrections)   -11.61 eV/atom
Size of the total moment   0.00 Bohr magnetons per cell
Fermi-level density of states   5.2 states/eV per cell
Energy above the lowest structure with this stoichiometry   5.3 kJ/mol of atoms
Calculated formation energy   2.47 kcal/mol of atoms